No. 1
Tb2Ga3Ni2 after structural relaxation. Source: the Alexandria database, functional GGA-PBE.

a b c (Å): 10.1358 4.0658 6.8039
angles (deg): 90.00 116.61 90.00
With the nearest neighbours (Å) after each atom.
Atoms (fractional coordinates):
Tb (0.1433, 0.0000, 0.2775)  4 Ni 2.85-3.01, 2 Ga 3.03
Tb (0.3567, 0.5000, 0.7225)  4 Ni 2.85-3.01, 2 Ga 3.03
Tb (0.6433, 0.5000, 0.2775)  4 Ni 2.85-3.01, 2 Ga 3.03
Tb (0.8567, 0.0000, 0.7225)  4 Ni 2.85-3.01, 2 Ga 3.03
Ga (0.0000, 0.5000, 0.5000)  4 Ni 2.50, 2 Ga 2.69
Ga (0.1356, 0.5000, 0.9424)  3 Ni 2.48-2.58, 1 Ga 2.69
Ga (0.3644, 0.0000, 0.0576)  3 Ni 2.48-2.58, 1 Ga 2.69
Ga (0.5000, 0.0000, 0.5000)  4 Ni 2.50, 2 Ga 2.69
Ga (0.6356, 0.0000, 0.9424)  3 Ni 2.48-2.58, 1 Ga 2.69
Ga (0.8644, 0.5000, 0.0576)  3 Ni 2.48-2.58, 1 Ga 2.69
Ni (0.1339, 0.0000, 0.7086)  5 Ga 2.48-2.58
Ni (0.3661, 0.5000, 0.2914)  5 Ga 2.48-2.58
Ni (0.6339, 0.5000, 0.7086)  5 Ga 2.48-2.58
Ni (0.8661, 0.0000, 0.2914)  5 Ga 2.48-2.58

DFT total energy   -4.868 eV per atom
Calculated formation energy   -0.596 eV/atom
Space group   No. 12
Calculated density   8537 kg/m³

***

No. 2
Tb6GaNi2 after structural relaxation. Source: the Alexandria database, functional GGA-PBE.

a b c (Å): 8.3595 8.3595 8.3595
angles (deg): 112.82 109.43 106.23
With the nearest neighbours (Å) after each atom.
Atoms (fractional coordinates):
Tb (0.0414, 0.2357, 0.8057)  1 Ni 2.79, 1 Ga 3.02
Tb (0.1804, 0.2855, 0.4659)  3 Ni 2.91-3.10, 1 Ga 3.16
Tb (0.1804, 0.7145, 0.8949)  3 Ni 2.91-3.10, 1 Ga 3.16
Tb (0.3261, 0.0181, 0.6920)  3 Ni 2.72-2.89
Tb (0.3261, 0.6340, 0.3080)  3 Ni 2.72-2.89
Tb (0.4300, 0.2357, 0.1943)  1 Ni 2.79, 1 Ga 3.02
Tb (0.5700, 0.7643, 0.8057)  1 Ni 2.79, 1 Ga 3.02
Tb (0.6739, 0.3660, 0.6920)  3 Ni 2.72-2.89
Tb (0.6739, 0.9819, 0.3080)  3 Ni 2.72-2.89
Tb (0.8196, 0.2855, 0.1051)  3 Ni 2.91-3.10, 1 Ga 3.16
Tb (0.8196, 0.7145, 0.5341)  3 Ni 2.91-3.10, 1 Ga 3.16
Tb (0.9586, 0.7643, 0.1943)  1 Ni 2.79, 1 Ga 3.02
Ga (0.0000, 0.0000, 0.0000)  8 Tb 3.02-3.16, 2 Ni 3.36
Ga (0.5000, 0.5000, 0.0000)  8 Tb 3.25-3.34
Ni (0.1212, 0.6212, 0.5000)  1 Ni 2.43, 2 Tb 2.72
Ni (0.3479, 0.0000, 0.3479)  8 Tb 2.79-3.10, 1 Ni 2.94
Ni (0.6521, 0.0000, 0.6521)  8 Tb 2.79-3.10, 1 Ni 2.94
Ni (0.8788, 0.3787, 0.5000)  1 Ni 2.43, 2 Tb 2.72

DFT total energy   -5.058 eV per atom
Calculated formation energy   -0.350 eV/atom
Space group   No. 71
Calculated density   8452 kg/m³